No. 1
An optimized crystal structure of TaHgCl2. Source: the Alexandria database, functional PBE.

a b c (Å): 7.0037 7.0037 7.0037
angles (deg): 90.00 90.00 90.00
Space group F-43m (No. 216)
Asymmetric unit:
Ta  0.0000  0.0000  0.0000 (multiplicity 4)
Hg  0.2500  0.2500  0.2500 (multiplicity 4)
Cl  0.0000  0.0000  0.5000 (multiplicity 4)
Cl  0.2500  0.2500  0.7500 (multiplicity 4)

formation energy from raw total energies = 0.69 eV per atom
crystal system = cubic
Fermi-level density of states = 5.97 states/eV/f.u.
energy above the most stable polymorph in this dataset = 1270 meV/atom
DFT total energy = -52.31 eV for the cell shown

No. 2
An optimized crystal structure of ScSb2Mo. Source: the Alexandria database, functional PBE.

a b c (Å): 3.5281 3.5281 24.5742
angles (deg): 90.00 90.00 120.00
Space group R-3m (No. 166, hexagonal axes)
Asymmetric unit:
Sc  0.0000  0.0000  0.0000 (multiplicity 3)
Sb  0.0000  0.0000  0.2427 (multiplicity 6)
Mo  0.0000  0.0000  0.5000 (multiplicity 3)

formation energy from raw total energies = -0.03 eV per atom
crystal system = trigonal
Fermi-level density of states = 2.87 states/eV/f.u.
energy above the most stable polymorph in this dataset = 178 meV/atom
DFT total energy = -76.62 eV for the cell shown

No. 3
An optimized crystal structure of Ca3Mg. Source: the Alexandria database, functional PBE.

a b c (Å): 5.3976 5.3976 9.9539
angles (deg): 90.00 90.00 90.00
Space group I4/mmm (No. 139)
Asymmetric unit:
Ca  0.0000  0.0000  0.0000 (multiplicity 2)
Ca  0.0000  0.5000  0.2500 (multiplicity 4)
Mg  0.0000  0.0000  0.5000 (multiplicity 2)

energy of formation = 0.002 eV/atom
crystal system = tetragonal
Fermi-level density of states = 3.81 states/eV/f.u.
DFT total energy = -15.18 eV for the cell shown

No. 4
An optimized crystal structure of Li2CuPd5. Source: the Alexandria database, functional PBE.

a b c (Å): 9.3016 5.5218 5.5663
angles (deg): 90.00 126.65 90.00
Space group C2/m (No. 12)
Asymmetric unit:
Li  0.0000  0.0000  0.0000 (multiplicity 2)
Li  0.0000  0.5000  0.0000 (multiplicity 2)
Cu  0.0000  0.0000  0.5000 (multiplicity 2)
Pd  0.0000  0.5000  0.5000 (multiplicity 2)
Pd  0.2500  0.2500  0.0000 (multiplicity 4)
Pd  0.2500  0.2500  0.5000 (multiplicity 4)

energy of formation = -0.293 eV/atom
crystal system = monoclinic
Fermi-level density of states = 4.61 states/eV/f.u.
energy above the most stable polymorph in this dataset = 0 meV/atom
DFT total energy = -72.47 eV for the cell shown

No. 5
An optimized crystal structure of CaRhS. Source: the Alexandria database, functional PBE.

a b c (Å): 4.0263 4.0263 4.0847
angles (deg): 90.00 90.00 120.00
Space group P-6m2 (No. 187)
Asymmetric unit:
Ca  0.0000  0.0000  0.0000 (multiplicity 1)
Rh  0.3333  0.6667  0.5000 (multiplicity 1)
S  0.6667  0.3333  0.5000 (multiplicity 1)

formation energy from raw total energies = -1.03 eV per atom
crystal system = hexagonal
Fermi-level density of states = 1.43 states/eV/f.u.
DFT total energy = -16.59 eV for the cell shown

Copy entry 2 word for word.
An optimized crystal structure of ScSb2Mo. Source: the Alexandria database, functional PBE.

a b c (Å): 3.5281 3.5281 24.5742
angles (deg): 90.00 90.00 120.00
Space group R-3m (No. 166, hexagonal axes)
Asymmetric unit:
Sc  0.0000  0.0000  0.0000 (multiplicity 3)
Sb  0.0000  0.0000  0.2427 (multiplicity 6)
Mo  0.0000  0.0000  0.5000 (multiplicity 3)

formation energy from raw total energies = -0.03 eV per atom
crystal system = trigonal
Fermi-level density of states = 2.87 states/eV/f.u.
energy above the most stable polymorph in this dataset = 178 meV/atom
DFT total energy = -76.62 eV for the cell shown